# Li3NbTc2N6

Li3NbTc2N6 after structural relaxation (PBE-GGA, Alexandria).

Cell: 5.1502 5.1502 5.4332 Å, 98.73 98.73 119.21°
Closest atoms and distances in Å follow each position.
Atoms (fractional coordinates):
Li 0.0000 0.0000 0.0000  6 N 2.14-2.25
Li 0.3286 0.6714 0.0000  6 N 2.20-2.28
Li 0.6714 0.3286 0.0000  6 N 2.20-2.28
Nb 0.5000 0.5000 0.5000  6 N 2.11-2.15
Tc 0.1465 0.8535 0.5000  6 N 2.02-2.21
Tc 0.8535 0.1465 0.5000  6 N 2.02-2.21
N 0.0812 0.4179 0.2802  2 Tc 2.02-2.21, 1 Nb 2.11, 2 Li 2.20-2.25
N 0.2462 0.2462 0.7469  2 Tc 2.03, 3 Li 2.14-2.21, 1 Nb 2.15
N 0.4179 0.0812 0.2802  2 Tc 2.02-2.21, 1 Nb 2.11, 2 Li 2.20-2.25
N 0.5821 0.9188 0.7198  2 Tc 2.02-2.21, 1 Nb 2.11, 2 Li 2.20-2.25
N 0.7538 0.7538 0.2531  2 Tc 2.03, 3 Li 2.14-2.21, 1 Nb 2.15
N 0.9188 0.5821 0.7198  2 Tc 2.02-2.21, 1 Nb 2.11, 2 Li 2.20-2.25

Calculated total energy = -0.2787 hartree per atom